(1)
# KRb2PaSe4

KRb2PaSe4 after structural relaxation (PBE, the Alexandria database).

Theoretical density   4493 kg/m³
Uncorrected formation energy   -1046 kJ/mol of formula units
Calculated volume   279.8 Å³/cell
SG   No. 10

a = 8.0333 Å, b = 4.4294 Å, c = 8.2704 Å
α = 90.00°, β = 108.07°, γ = 90.00°
Closest atoms and distances in Å follow each position.
Element x y z (fractional)
K (0.0000, 0.0000, 0.0000)  6 Se 3.26-3.29
Rb (0.0000, 0.5000, 0.5000)  6 Se 3.66-3.90
Rb (0.5000, 0.0000, 0.5000)  6 Se 3.37-3.39
Pa (0.5000, 0.5000, 0.0000)  6 Se 2.70-2.90
Se (0.2896, 0.5000, 0.1988)  1 Pa 2.70
Se (0.3015, 0.0000, 0.8066)  2 Pa 2.90
Se (0.6985, 0.0000, 0.1934)  2 Pa 2.90
Se (0.7104, 0.5000, 0.8012)  1 Pa 2.70

=====

(2)
# K2RbPaSe4

K2RbPaSe4 after structural relaxation (PBE, the Alexandria database).

Theoretical density   4297 kg/m³
Uncorrected formation energy   -1038 kJ/mol of formula units
Calculated volume   274.6 Å³/cell
SG   No. 10

a = 7.9997 Å, b = 4.4234 Å, c = 8.2427 Å
α = 90.00°, β = 109.72°, γ = 90.00°
Closest atoms and distances in Å follow each position.
Element x y z (fractional)
K (0.0000, 0.0000, 0.0000)  6 Se 3.23-3.30
K (0.0000, 0.5000, 0.5000)  6 Se 3.55-3.95
Rb (0.5000, 0.0000, 0.5000)  6 Se 3.33-3.40
Pa (0.5000, 0.5000, 0.0000)  6 Se 2.69-2.91
Se (0.2914, 0.5000, 0.1966)  1 Pa 2.69
Se (0.2949, 0.0000, 0.8001)  2 Pa 2.91
Se (0.7051, 0.0000, 0.1999)  2 Pa 2.91
Se (0.7086, 0.5000, 0.8034)  1 Pa 2.69

=====

(3)
# KRb2PaTe4

KRb2PaTe4 after structural relaxation (PBE, the Alexandria database).

Theoretical density   4660 kg/m³
Uncorrected formation energy   -786 kJ/mol of formula units
Calculated volume   339.0 Å³/cell
SG   No. 10

a = 8.5585 Å, b = 4.7261 Å, c = 8.7913 Å
α = 90.00°, β = 107.55°, γ = 90.00°
Closest atoms and distances in Å follow each position.
Element x y z (fractional)
K (0.0000, 0.0000, 0.0000)  6 Te 3.48-3.49
Rb (0.0000, 0.5000, 0.5000)  6 Te 3.90-4.06
Rb (0.5000, 0.0000, 0.5000)  6 Te 3.59
Pa (0.5000, 0.5000, 0.0000)  6 Te 2.94-3.11
Te (0.2842, 0.5000, 0.2042)  1 Pa 2.94
Te (0.2999, 0.0000, 0.8048)  2 Pa 3.11
Te (0.7001, 0.0000, 0.1952)  2 Pa 3.11
Te (0.7158, 0.5000, 0.7958)  1 Pa 2.94

=====

(4)
# K3PaRh2S6

K3PaRh2S6 after structural relaxation (PBE, the Alexandria database).

Theoretical density   4647 kg/m³
Uncorrected formation energy   -1173 kJ/mol of formula units
Calculated volume   266.8 Å³/cell
SG   No. 12

a = 6.4539 Å, b = 6.4539 Å, c = 7.7083 Å
α = 98.08°, β = 98.08°, γ = 120.01°
Closest atoms and distances in Å follow each position.
Element x y z (fractional)
K (0.0000, 0.0000, 0.0000)  6 S 3.07-3.22
K (0.3372, 0.6628, 0.0000)  6 S 3.08-3.22
K (0.6628, 0.3372, 0.0000)  6 S 3.08-3.22
Pa (0.5000, 0.5000, 0.5000)  6 S 2.69
Rh (0.1667, 0.8333, 0.5000)  6 S 2.49-2.50
Rh (0.8333, 0.1667, 0.5000)  6 S 2.49-2.50
S (0.0801, 0.4377, 0.3131)  2 Rh 2.49-2.50, 1 Pa 2.69
S (0.2043, 0.2043, 0.6856)  2 Rh 2.49, 1 Pa 2.69
S (0.4377, 0.0801, 0.3131)  2 Rh 2.49-2.50, 1 Pa 2.69
S (0.5623, 0.9199, 0.6869)  2 Rh 2.49-2.50, 1 Pa 2.69
S (0.7957, 0.7957, 0.3144)  2 Rh 2.49, 1 Pa 2.69
S (0.9199, 0.5623, 0.6869)  2 Rh 2.49-2.50, 1 Pa 2.69

=====

(5)
# KPaRhS4

KPaRhS4 after structural relaxation (PBE, the Alexandria database).

Theoretical density   4994 kg/m³
Uncorrected formation energy   -733 kJ/mol of formula units
Calculated volume   333.3 Å³/cell
SG   No. 11

a = 6.6625 Å, b = 5.9198 Å, c = 8.7420 Å
α = 90.00°, β = 104.81°, γ = 90.00°
Closest atoms and distances in Å follow each position.
Element x y z (fractional)
K (0.2494, 0.2500, 0.4554)  8 S 3.13-3.49
K (0.7506, 0.7500, 0.5446)  8 S 3.13-3.49
Pa (0.2463, 0.2500, 0.9535)  6 S 2.62-2.87
Pa (0.7537, 0.7500, 0.0465)  6 S 2.62-2.87
Rh (0.2627, 0.7500, 0.1322)  4 S 2.27-2.34
Rh (0.7373, 0.2500, 0.8678)  4 S 2.27-2.34
S (0.0421, 0.7500, 0.8874)  1 Rh 2.27
S (0.0515, 0.7500, 0.3090)  1 Rh 2.34, 1 Pa 2.62
S (0.4770, 0.5081, 0.7942)  1 Rh 2.28
S (0.4770, 0.9919, 0.7942)  1 Rh 2.28
S (0.5230, 0.0081, 0.2058)  1 Rh 2.28
S (0.5230, 0.4919, 0.2058)  1 Rh 2.28
S (0.9485, 0.2500, 0.6910)  1 Rh 2.34, 1 Pa 2.62
S (0.9579, 0.2500, 0.1126)  1 Rh 2.27

=====

(6)
# K3PaRh3S8

K3PaRh3S8 after structural relaxation (PBE, the Alexandria database).

Theoretical density   4518 kg/m³
Uncorrected formation energy   -1382 kJ/mol of formula units
Calculated volume   335.8 Å³/cell
SG   No. 166

a = 8.4843 Å, b = 8.4843 Å, c = 8.4843 Å
α = 50.56°, β = 50.56°, γ = 50.56°
Closest atoms and distances in Å follow each position.
Element x y z (fractional)
K (0.0000, 0.5000, 0.5000)  6 S 3.16-3.26
K (0.5000, 0.0000, 0.5000)  6 S 3.16-3.26
K (0.5000, 0.5000, 0.0000)  6 S 3.16-3.26
Pa (0.5000, 0.5000, 0.5000)  6 S 2.67
Rh (0.0000, 0.0000, 0.5000)  6 S 2.41-2.46
Rh (0.0000, 0.5000, 0.0000)  6 S 2.41-2.46
Rh (0.5000, 0.0000, 0.0000)  6 S 2.41-2.46
S (0.2025, 0.7445, 0.7445)  2 Rh 2.46, 1 Pa 2.67
S (0.2204, 0.2204, 0.2204)  3 Rh 2.41
S (0.2555, 0.2555, 0.7975)  2 Rh 2.46, 1 Pa 2.67
S (0.2555, 0.7975, 0.2555)  2 Rh 2.46, 1 Pa 2.67
S (0.7445, 0.2025, 0.7445)  2 Rh 2.46, 1 Pa 2.67
S (0.7445, 0.7445, 0.2025)  2 Rh 2.46, 1 Pa 2.67
S (0.7796, 0.7796, 0.7796)  3 Rh 2.41
S (0.7975, 0.2555, 0.2555)  2 Rh 2.46, 1 Pa 2.67

=====

(7)
# KPaRhSe3

KPaRhSe3 after structural relaxation (PBE, the Alexandria database).

Theoretical density   6080 kg/m³
Uncorrected formation energy   -647 kJ/mol of formula units
Calculated volume   333.2 Å³/cell
SG   No. 11

a = 8.9951 Å, b = 4.1103 Å, c = 9.6966 Å
α = 90.00°, β = 111.67°, γ = 90.00°
Closest atoms and distances in Å follow each position.
Element x y z (fractional)
K (0.2135, 0.2500, 0.2467)  7 Se 3.35-3.50
K (0.7865, 0.7500, 0.7533)  7 Se 3.35-3.50
Pa (0.3025, 0.7500, 0.8218)  6 Se 2.73-2.94
Pa (0.6975, 0.2500, 0.1782)  6 Se 2.73-2.94
Rh (0.0989, 0.2500, 0.5937)  4 Se 2.53-2.63
Rh (0.9011, 0.7500, 0.4063)  4 Se 2.53-2.63
Se (0.1066, 0.2500, 0.8611)  1 Rh 2.57, 2 Pa 2.82
Se (0.2155, 0.7500, 0.5204)  3 Rh 2.53-2.63, 1 Pa 2.73
Se (0.4569, 0.7500, 0.1465)  3 Pa 2.92-2.94
Se (0.5431, 0.2500, 0.8535)  3 Pa 2.92-2.94
Se (0.7845, 0.2500, 0.4796)  3 Rh 2.53-2.63, 1 Pa 2.73
Se (0.8934, 0.7500, 0.1389)  1 Rh 2.57, 2 Pa 2.82

=====

(8)
# KPaRhSe4

KPaRhSe4 after structural relaxation (PBE, the Alexandria database).

Theoretical density   6059 kg/m³
Uncorrected formation energy   -651 kJ/mol of formula units
Calculated volume   377.6 Å³/cell
SG   No. 11

a = 6.8568 Å, b = 6.2140 Å, c = 9.0961 Å
α = 90.00°, β = 103.01°, γ = 90.00°
Closest atoms and distances in Å follow each position.
Element x y z (fractional)
K (0.2388, 0.2500, 0.0363)  8 Se 3.22-3.58
K (0.7612, 0.7500, 0.9637)  8 Se 3.22-3.58
Pa (0.2553, 0.2500, 0.5433)  6 Se 2.77-3.00
Pa (0.7447, 0.7500, 0.4567)  6 Se 2.77-3.00
Rh (0.2457, 0.7500, 0.3909)  4 Se 2.38-2.47
Rh (0.7543, 0.2500, 0.6091)  4 Se 2.38-2.47
Se (0.0155, 0.5063, 0.7065)  1 Rh 2.41
Se (0.0155, 0.9937, 0.7065)  1 Rh 2.41
Se (0.4441, 0.7500, 0.1951)  1 Rh 2.47
Se (0.4646, 0.7500, 0.6340)  1 Rh 2.38
Se (0.5354, 0.2500, 0.3660)  1 Rh 2.38
Se (0.5559, 0.2500, 0.8049)  1 Rh 2.47
Se (0.9845, 0.0063, 0.2935)  1 Rh 2.41
Se (0.9845, 0.4937, 0.2935)  1 Rh 2.41

=====

(9)
# K3PaRh2Se6

K3PaRh2Se6 after structural relaxation (PBE, the Alexandria database).

Theoretical density   5600 kg/m³
Uncorrected formation energy   -1073 kJ/mol of formula units
Calculated volume   304.8 Å³/cell
SG   No. 12

a = 6.7392 Å, b = 6.7392 Å, c = 8.0756 Å
α = 98.08°, β = 98.08°, γ = 120.01°
Closest atoms and distances in Å follow each position.
Element x y z (fractional)
K (0.0000, 0.0000, 0.0000)  6 Se 3.20-3.36
K (0.3390, 0.6610, 0.0000)  6 Se 3.22-3.37
K (0.6610, 0.3390, 0.0000)  6 Se 3.22-3.37
Pa (0.5000, 0.5000, 0.5000)  6 Se 2.82-2.83
Rh (0.1668, 0.8332, 0.5000)  6 Se 2.61
Rh (0.8332, 0.1668, 0.5000)  6 Se 2.61
Se (0.0779, 0.4369, 0.3114)  2 Rh 2.61, 1 Pa 2.83
Se (0.2035, 0.2035, 0.6870)  2 Rh 2.61, 1 Pa 2.82
Se (0.4369, 0.0779, 0.3114)  2 Rh 2.61, 1 Pa 2.83
Se (0.5631, 0.9221, 0.6886)  2 Rh 2.61, 1 Pa 2.83
Se (0.7965, 0.7965, 0.3130)  2 Rh 2.61, 1 Pa 2.82
Se (0.9221, 0.5631, 0.6886)  2 Rh 2.61, 1 Pa 2.83

=====

(10)
# KPaTe3Rh

KPaTe3Rh after structural relaxation (PBE, the Alexandria database).

Theoretical density   6348 kg/m³
Uncorrected formation energy   -476 kJ/mol of formula units
Calculated volume   395.4 Å³/cell
SG   No. 11

a = 9.7506 Å, b = 4.1598 Å, c = 10.8318 Å
α = 90.00°, β = 115.83°, γ = 90.00°
Closest atoms and distances in Å follow each position.
Element x y z (fractional)
K (0.2403, 0.2500, 0.2528)  7 Te 3.54-3.73
K (0.7597, 0.7500, 0.7472)  7 Te 3.54-3.73
Pa (0.2855, 0.7500, 0.8173)  2 Rh 2.87, 6 Te 3.07-3.17
Pa (0.7145, 0.2500, 0.1827)  2 Rh 2.87, 6 Te 3.07-3.17
Te (0.0858, 0.2500, 0.8710)  1 Rh 2.75, 2 Pa 3.07
Te (0.1934, 0.7500, 0.5080)  3 Rh 2.72-2.74
Te (0.4603, 0.7500, 0.1424)  3 Pa 3.12-3.17
Te (0.5397, 0.2500, 0.8576)  3 Pa 3.12-3.17
Te (0.8066, 0.2500, 0.4920)  3 Rh 2.72-2.74
Te (0.9142, 0.7500, 0.1290)  1 Rh 2.75, 2 Pa 3.07
Rh (0.1158, 0.2500, 0.6303)  4 Te 2.72-2.75, 2 Pa 2.87
Rh (0.8842, 0.7500, 0.3697)  4 Te 2.72-2.75, 2 Pa 2.87

=====

Please write out number 9 again, unchanged.
# K3PaRh2Se6

K3PaRh2Se6 after structural relaxation (PBE, the Alexandria database).

Theoretical density   5600 kg/m³
Uncorrected formation energy   -1073 kJ/mol of formula units
Calculated volume   304.8 Å³/cell
SG   No. 12

a = 6.7392 Å, b = 6.7392 Å, c = 8.0756 Å
α = 98.08°, β = 98.08°, γ = 120.01°
Closest atoms and distances in Å follow each position.
Element x y z (fractional)
K (0.0000, 0.0000, 0.0000)  6 Se 3.20-3.36
K (0.3390, 0.6610, 0.0000)  6 Se 3.22-3.37
K (0.6610, 0.3390, 0.0000)  6 Se 3.22-3.37
Pa (0.5000, 0.5000, 0.5000)  6 Se 2.82-2.83
Rh (0.1668, 0.8332, 0.5000)  6 Se 2.61
Rh (0.8332, 0.1668, 0.5000)  6 Se 2.61
Se (0.0779, 0.4369, 0.3114)  2 Rh 2.61, 1 Pa 2.83
Se (0.2035, 0.2035, 0.6870)  2 Rh 2.61, 1 Pa 2.82
Se (0.4369, 0.0779, 0.3114)  2 Rh 2.61, 1 Pa 2.83
Se (0.5631, 0.9221, 0.6886)  2 Rh 2.61, 1 Pa 2.83
Se (0.7965, 0.7965, 0.3130)  2 Rh 2.61, 1 Pa 2.82
Se (0.9221, 0.5631, 0.6886)  2 Rh 2.61, 1 Pa 2.83